No. 1
## KFeTe2AuS (PBE)

Data for crystalline KFeTe2AuS at its relaxed geometry.

Structure (POSCAR):
```
KFeTe2AuS
1.0
-5.2638 0.1373 -5.4687
2.8244 -3.0489 6.3530
-6.1446 6.9978 6.0901
Te K Au Fe S
4 2 2 2 2
Direct
0.3774 0.6226 0.9676
0.3774 0.6226 0.5324
0.6226 0.3774 0.4676
0.6226 0.3774 0.0324
0.2554 0.7446 0.2500
0.7446 0.2554 0.7500
0.5357 0.4643 0.2500
0.4643 0.5357 0.7500
0.0000 0.0000 0.5000
0.0000 0.0000 0.0000
0.0672 0.9328 0.7500
0.9328 0.0672 0.2500
```

Summary:
Raw total energy ... -4.007 eV per atom

=====

No. 2
## KFeAuSe3 (PBE)

Data for crystalline KFeAuSe3 at its relaxed geometry.

Structure (POSCAR):
```
KFeAuSe3
1.0
7.7597 -1.8499 0.0000
7.7597 1.8499 0.0000
0.0000 0.0000 10.2232
Se Au K Fe
6 2 2 2
Direct
0.0560 0.0560 0.2500
0.3952 0.3952 0.0105
0.6048 0.6048 0.5105
0.6048 0.6048 0.9895
0.3952 0.3952 0.4895
0.9440 0.9440 0.7500
0.5810 0.5810 0.7500
0.4190 0.4190 0.2500
0.2591 0.2591 0.7500
0.7409 0.7409 0.2500
0.0000 0.0000 0.0000
0.0000 0.0000 0.5000
```

Summary:
Raw total energy ... -4.135 eV per atom

=====

No. 3
## KFeTe3Au (PBE)

Data for crystalline KFeTe3Au at its relaxed geometry.

Structure (POSCAR):
```
KFeTe3Au
1.0
7.9345 -1.9841 0.0000
7.9345 1.9841 0.0000
0.0000 0.0000 10.9447
Au Te Fe K
2 6 2 2
Direct
0.4391 0.4391 0.2500
0.5609 0.5609 0.7500
0.0662 0.0662 0.2500
0.6122 0.6122 0.9833
0.3878 0.3878 0.4833
0.9338 0.9338 0.7500
0.6122 0.6122 0.5167
0.3878 0.3878 0.0167
0.0000 0.0000 0.0000
0.0000 0.0000 0.5000
0.2377 0.2377 0.7500
0.7623 0.7623 0.2500
```

Summary:
Raw total energy ... -3.878 eV per atom

=====

No. 4
## LaFeSi2Au (PBE)

Data for crystalline LaFeSi2Au at its relaxed geometry.

Structure (POSCAR):
```
LaFeSi2Au
1.0
-2.1107 2.1107 5.1129
2.1107 -2.1107 5.1129
2.1107 2.1107 -5.1129
La Si Au Fe
1 2 1 1
Direct
0.7500 0.2500 0.5000
0.1297 0.6297 0.5000
0.3703 0.8703 0.5000
0.0000 0.0000 0.0000
0.5000 0.5000 0.0000
```

Summary:
Raw total energy ... -6.034 eV per atom

=====

No. 5
## LiFePbAu (PBE)

Data for crystalline LiFePbAu at its relaxed geometry.

Structure (POSCAR):
```
LiFePbAu
1.0
0.7005 -4.0326 -2.1147
-2.8907 -3.5134 0.7239
-2.8480 -1.3681 -3.3529
Au Pb Li Fe
1 1 1 1
Direct
0.5000 0.5000 0.5000
0.0000 0.0000 0.0000
0.2500 0.2500 0.2500
0.7500 0.7500 0.7500
```

Summary:
Energy above the most stable polymorph in this dataset ... 0.0 meV/atom

=====

No. 6
## LiFeAuS3 (PBE)

Data for crystalline LiFeAuS3 at its relaxed geometry.

Structure (POSCAR):
```
LiFeAuS3
1.0
-3.3891 1.8123 5.7704
-0.7697 0.3448 6.8816
4.5813 8.2526 0.0989
Fe S Au Li
2 6 2 2
Direct
0.0000 0.0000 0.0000
0.0000 0.0000 0.5000
0.0434 0.0434 0.2500
0.3783 0.3783 0.0086
0.3783 0.3783 0.4914
0.6217 0.6217 0.5086
0.6217 0.6217 0.9914
0.9566 0.9566 0.7500
0.3468 0.3468 0.2500
0.6532 0.6532 0.7500
0.3164 0.3164 0.7500
0.6836 0.6836 0.2500
```

Summary:
Raw total energy ... -4.618 eV per atom

=====

No. 7
## LiFeAuSe2S (PBE)

Data for crystalline LiFeAuSe2S at its relaxed geometry.

Structure (POSCAR):
```
LiFeAuSe2S
1.0
-4.3841 4.2465 3.5440
1.3267 -5.2898 -4.4801
-0.1178 -6.3476 7.4600
Fe Au S Se Li
2 2 2 4 2
Direct
0.5000 0.5000 0.0000
0.5000 0.5000 0.5000
0.8419 0.1581 0.7500
0.1581 0.8419 0.2500
0.4597 0.5403 0.2500
0.5403 0.4597 0.7500
0.1288 0.8712 0.4948
0.8712 0.1288 0.9948
0.8712 0.1288 0.5052
0.1288 0.8712 0.0052
0.1821 0.8179 0.7500
0.8179 0.1821 0.2500
```

Summary:
Raw total energy ... -4.355 eV per atom

=====

No. 8
## LiFeTeAuS2 (PBE)

Data for crystalline LiFeTeAuS2 at its relaxed geometry.

Structure (POSCAR):
```
LiFeTeAuS2
1.0
-4.5171 5.7253 0.3621
3.2794 -5.5639 -3.4064
-7.6020 -6.1724 2.7632
S Fe Li Te Au
4 2 2 2 2
Direct
0.8883 0.1117 0.0213
0.1117 0.8883 0.9787
0.1117 0.8883 0.5213
0.8883 0.1117 0.4787
0.5000 0.5000 0.0000
0.5000 0.5000 0.5000
0.7732 0.2268 0.7500
0.2268 0.7732 0.2500
0.4344 0.5656 0.7500
0.5656 0.4344 0.2500
0.1298 0.8702 0.7500
0.8702 0.1298 0.2500
```

Summary:
Raw total energy ... -4.445 eV per atom

=====

No. 9
## LiFeAuSe3 (PBE)

Data for crystalline LiFeAuSe3 at its relaxed geometry.

Structure (POSCAR):
```
LiFeAuSe3
1.0
-0.2332 -1.8455 -2.8351
-3.9338 -5.5828 1.9298
-8.3252 4.9819 -2.5583
Fe Se Li Au
2 6 2 2
Direct
0.0000 0.0000 0.5000
0.0000 0.0000 0.0000
0.6270 0.7460 0.5070
0.0484 0.9031 0.2500
0.6270 0.7460 0.9930
0.3730 0.2540 0.0070
0.3730 0.2540 0.4930
0.9515 0.0969 0.7500
0.6995 0.6010 0.2500
0.3005 0.3990 0.7500
0.3515 0.2969 0.2500
0.6485 0.7031 0.7500
```

Summary:
Raw total energy ... -4.278 eV per atom

=====

No. 10
## LiFeTeAuSe2 (PBE)

Data for crystalline LiFeTeAuSe2 at its relaxed geometry.

Structure (POSCAR):
```
LiFeTeAuSe2
1.0
1.7162 -7.0571 0.0000
1.7162 7.0571 0.0000
0.0000 0.0000 10.4408
Li Se Fe Te Au
2 4 2 2 2
Direct
0.2822 0.7178 0.7500
0.7178 0.2822 0.2500
0.6224 0.3776 0.5135
0.3776 0.6224 0.0135
0.6224 0.3776 0.9865
0.3776 0.6224 0.4865
0.0000 0.0000 0.0000
0.0000 0.0000 0.5000
0.9444 0.0556 0.7500
0.0556 0.9444 0.2500
0.6390 0.3610 0.7500
0.3610 0.6390 0.2500
```

Summary:
Raw total energy ... -4.201 eV per atom

=====

No. 11
## LiFeTe2AuSe (PBE)

Data for crystalline LiFeTe2AuSe at its relaxed geometry.

Structure (POSCAR):
```
LiFeTe2AuSe
1.0
3.6968 1.2541 5.8362
-5.4138 -3.1751 -3.1480
6.1154 -8.3698 -2.0751
Se Te Li Au Fe
2 4 2 2 2
Direct
0.5541 0.4459 0.7500
0.4459 0.5541 0.2500
0.1358 0.8642 0.0029
0.8642 0.1358 0.9971
0.1358 0.8642 0.4971
0.8642 0.1358 0.5029
0.7849 0.2151 0.2500
0.2151 0.7849 0.7500
0.1335 0.8665 0.2500
0.8665 0.1335 0.7500
0.5000 0.5000 0.0000
0.5000 0.5000 0.5000
```

Summary:
Raw total energy ... -4.039 eV per atom

=====

No. 12
## LiFeSiAu (PBE)

Data for crystalline LiFeSiAu at its relaxed geometry.

Structure (POSCAR):
```
LiFeSiAu
1.0
0.0000 2.9952 2.9952
2.9952 0.0000 2.9952
2.9952 2.9952 0.0000
Fe Li Au Si
1 1 1 1
Direct
0.7500 0.7500 0.7500
0.2500 0.2500 0.2500
0.5000 0.5000 0.5000
0.0000 0.0000 0.0000
```

Summary:
Energy above the most stable polymorph in this dataset ... 67.8 meV/atom

=====

No. 13
## LiFeSiAu (PBE)

Data for crystalline LiFeSiAu at its relaxed geometry.

Structure (POSCAR):
```
LiFeSiAu
1.0
0.0000 2.9502 2.9502
2.9502 0.0000 2.9502
2.9502 2.9502 0.0000
Au Si Li Fe
1 1 1 1
Direct
0.2500 0.2500 0.2500
0.0000 0.0000 0.0000
0.5000 0.5000 0.5000
0.7500 0.7500 0.7500
```

Summary:
Energy above the most stable polymorph in this dataset ... 0.0 meV/atom

=====

No. 14
## LiFeTe3Au (PBE)

Data for crystalline LiFeTe3Au at its relaxed geometry.

Structure (POSCAR):
```
LiFeTe3Au
1.0
-1.3993 -0.1765 -3.4014
-7.1459 -0.8737 0.9919
-1.3218 10.7925 -0.0161
Li Te Fe Au
2 6 2 2
Direct
0.2822 0.4356 0.2500
0.7178 0.5644 0.7500
0.6337 0.7327 0.0077
0.0491 0.9018 0.7500
0.3663 0.2673 0.5077
0.6337 0.7327 0.4923
0.3663 0.2673 0.9923
0.9509 0.0982 0.2500
0.0000 0.0000 0.0000
0.0000 0.0000 0.5000
0.6420 0.7160 0.2500
0.3580 0.2840 0.7500
```

Summary:
Raw total energy ... -3.986 eV per atom

=====

No. 15
## LiTlFeAu (PBE)

Data for crystalline LiTlFeAu at its relaxed geometry.

Structure (POSCAR):
```
LiTlFeAu
1.0
0.0000 3.2288 3.2288
3.2288 0.0000 3.2288
3.2288 3.2288 0.0000
Li Tl Au Fe
1 1 1 1
Direct
0.2500 0.2500 0.2500
0.0000 0.0000 0.0000
0.5000 0.5000 0.5000
0.7500 0.7500 0.7500
```

Summary:
Energy above the most stable polymorph in this dataset ... 0.0 meV/atom

=====

No. 16
## LuFeAu (PBE)

Data for crystalline LuFeAu at its relaxed geometry.

Structure (POSCAR):
```
LuFeAu
1.0
0.0000 3.2324 3.2324
3.2324 0.0000 3.2324
3.2324 3.2324 0.0000
Lu Au Fe
1 1 1
Direct
0.0000 0.0000 0.0000
0.2500 0.2500 0.2500
0.7500 0.7500 0.7500
```

Summary:
E_form ... 38 kJ/mol of atoms

=====

No. 17
## Lu2FeAu (PBE)

Data for crystalline Lu2FeAu at its relaxed geometry.

Structure (POSCAR):
```
Lu2FeAu
1.0
0.0000 3.3720 3.3720
3.3720 0.0000 3.3720
3.3720 3.3720 0.0000
Lu Fe Au
2 1 1
Direct
0.7500 0.7500 0.7500
0.0000 0.0000 0.0000
0.2500 0.2500 0.2500
0.5000 0.5000 0.5000
```

Summary:
E_form ... -4 kJ/mol of atoms

=====

No. 18
## LuFeAu (PBE)

Data for crystalline LuFeAu at its relaxed geometry.

Structure (POSCAR):
```
LuFeAu
1.0
2.2906 0.1926 3.9277
-2.2536 -0.0519 3.9533
0.2123 -3.6629 2.6923
Au Lu Fe
1 1 1
Direct
0.0000 0.0000 0.0000
0.7500 0.7500 0.7500
0.2500 0.2500 0.2500
```

Summary:
E_form ... 0 kJ/mol of atoms

=====

No. 19
## LuFeSbAu (PBE)

Data for crystalline LuFeSbAu at its relaxed geometry.

Structure (POSCAR):
```
LuFeSbAu
1.0
2.7269 -3.0949 2.4316
0.8869 0.7296 4.6485
-1.9775 -2.8598 3.2922
Au Sb Fe Lu
1 1 1 1
Direct
0.2500 0.2500 0.2500
0.0000 0.0000 0.0000
0.7500 0.7500 0.7500
0.5000 0.5000 0.5000
```

Summary:
Energy above the most stable polymorph in this dataset ... 66.7 meV/atom

=====

No. 20
## LuFeSbAu (PBE)

Data for crystalline LuFeSbAu at its relaxed geometry.

Structure (POSCAR):
```
LuFeSbAu
1.0
-3.7114 -3.0789 0.4200
-4.5468 1.6423 -0.2450
-2.7402 -1.0280 -3.8556
Lu Sb Fe Au
1 1 1 1
Direct
0.2500 0.2500 0.2500
0.0000 0.0000 0.0000
0.7500 0.7500 0.7500
0.5000 0.5000 0.5000
```

Summary:
Energy above the most stable polymorph in this dataset ... 0.0 meV/atom

=====

No. 21
## LuFeSiAu (PBE)

Data for crystalline LuFeSiAu at its relaxed geometry.

Structure (POSCAR):
```
LuFeSiAu
1.0
3.7008 -1.5202 2.3241
2.2297 2.8280 2.9051
-0.2623 -0.6988 4.5663
Si Fe Lu Au
1 1 1 1
Direct
0.0000 0.0000 0.0000
0.7500 0.7500 0.7500
0.2500 0.2500 0.2500
0.5000 0.5000 0.5000
```

Summary:
Energy above the most stable polymorph in this dataset ... 0.0 meV/atom

=====

No. 22
## LuFeSiAu (PBE)

Data for crystalline LuFeSiAu at its relaxed geometry.

Structure (POSCAR):
```
LuFeSiAu
1.0
2.7247 -1.3028 3.4063
-0.5644 1.7520 4.1636
-1.6392 -2.5980 3.3597
Fe Lu Si Au
1 1 1 1
Direct
0.7500 0.7500 0.7500
0.5000 0.5000 0.5000
0.0000 0.0000 0.0000
0.2500 0.2500 0.2500
```

Summary:
Energy above the most stable polymorph in this dataset ... 51.6 meV/atom

=====

No. 23
## LuTlFeAu (PBE)

Data for crystalline LuTlFeAu at its relaxed geometry.

Structure (POSCAR):
```
LuTlFeAu
1.0
1.9737 -1.2894 4.2036
-1.8239 -3.7067 2.4823
2.4719 -4.1236 0.3374
Tl Fe Lu Au
1 1 1 1
Direct
0.0000 0.0000 0.0000
0.7500 0.7500 0.7500
0.5000 0.5000 0.5000
0.2500 0.2500 0.2500
```

Summary:
Energy above the most stable polymorph in this dataset ... 19.0 meV/atom

=====

No. 24
## LuTlFeAu (PBE)

Data for crystalline LuTlFeAu at its relaxed geometry.

Structure (POSCAR):
```
LuTlFeAu
1.0
0.0000 3.4282 3.4282
3.4282 0.0000 3.4282
3.4282 3.4282 0.0000
Fe Tl Lu Au
1 1 1 1
Direct
0.7500 0.7500 0.7500
0.0000 0.0000 0.0000
0.2500 0.2500 0.2500
0.5000 0.5000 0.5000
```

Summary:
Energy above the most stable polymorph in this dataset ... 0.0 meV/atom

=====

No. 25
## MgFePbAu (PBE)

Data for crystalline MgFePbAu at its relaxed geometry.

Structure (POSCAR):
```
MgFePbAu
1.0
-1.8587 3.0223 3.1685
-3.9619 2.4125 -1.0544
-4.0868 -1.0648 2.1892
Fe Au Pb Mg
1 1 1 1
Direct
0.7500 0.7500 0.7500
0.5000 0.5000 0.5000
0.0000 0.0000 0.0000
0.2500 0.2500 0.2500
```

Summary:
Energy above the most stable polymorph in this dataset ... 0.0 meV/atom

=====

No. 26
## MgFeReAu (PBE)

Data for crystalline MgFeReAu at its relaxed geometry.

Structure (POSCAR):
```
MgFeReAu
1.0
0.0000 3.0696 3.0696
3.0696 0.0000 3.0696
3.0696 3.0696 0.0000
Mg Fe Re Au
1 1 1 1
Direct
0.7500 0.7500 0.7500
0.2500 0.2500 0.2500
0.5000 0.5000 0.5000
0.0000 0.0000 0.0000
```

Summary:
Energy above the most stable polymorph in this dataset ... 0.0 meV/atom